1.
Compound: BeTc2Sb
Source: Alexandria
Functional: PBEsol
Structure: relaxed

a = 2.939 Å, b = 2.939 Å, c = 7.835 Å
α = 90.00°, β = 90.00°, γ = 90.00°
Positions (direct):
Sb1 0.500 0.500 0.799
Tc1 0.000 0.000 0.053
Tc2 0.500 0.500 0.247
Be1 0.000 0.000 0.401

Values from the calculation:
Crystal system: tetragonal
Polymorph energy (0 for the lowest one), meV per atom: 1
Space group: P4mm (99)
M_tot, Bohr magnetons per cell: 0.0
Energy relative to the elements, uncorrected, eV/atom: 0.2108



2.
Compound: TiBeSbTe2
Source: Alexandria
Functional: PBEsol
Structure: relaxed

a = 5.198 Å, b = 5.198 Å, c = 5.237 Å
α = 90.00°, β = 90.00°, γ = 90.00°
Positions (direct):
Sb1 0.000 0.000 0.500
Te1 0.000 0.500 0.000
Te2 0.500 0.000 0.000
Be1 0.500 0.500 0.500
Ti1 0.000 0.000 0.000

Values from the calculation:
Crystal system: tetragonal
Space group: P4/mmm (123)
M_tot, Bohr magnetons per cell: 0.0
Energy relative to the elements, uncorrected, eV/atom: 0.5581



3.
Compound: YBeSb2Te
Source: Alexandria
Functional: PBEsol
Structure: relaxed

a = 4.841 Å, b = 4.841 Å, c = 5.238 Å
α = 90.00°, β = 90.00°, γ = 90.00°
Positions (direct):
Y1 0.500 0.500 0.500
Sb1 0.000 0.500 0.000
Sb2 0.500 0.000 0.000
Te1 0.000 0.000 0.500
Be1 0.000 0.000 0.000

Values from the calculation:
Crystal system: tetragonal
Space group: P4/mmm (123)
M_tot, Bohr magnetons per cell: 0.0
Energy relative to the elements, uncorrected, eV/atom: -0.0264



4.
Compound: ZrBeSb2Te
Source: Alexandria
Functional: PBEsol
Structure: relaxed

a = 5.418 Å, b = 5.488 Å, c = 5.488 Å
α = 90.00°, β = 90.00°, γ = 90.00°
Positions (direct):
Sb1 0.000 0.000 0.500
Sb2 0.000 0.500 0.000
Te1 0.500 0.000 0.000
Zr1 0.000 0.000 0.000
Be1 0.500 0.500 0.500

Values from the calculation:
Crystal system: tetragonal
Space group: P4/mmm (123)
M_tot, Bohr magnetons per cell: 0.0
Energy relative to the elements, uncorrected, eV/atom: 0.7255



5.
Compound: Ti3BeSb
Source: Alexandria
Functional: PBEsol
Structure: relaxed

a = 4.913 Å, b = 4.913 Å, c = 4.913 Å
α = 90.00°, β = 90.00°, γ = 90.00°
Positions (direct):
Sb1 0.000 0.000 0.000
Be1 0.500 0.500 0.500
Ti1 0.000 0.500 0.000
Ti2 0.000 0.000 0.500
Ti3 0.500 0.000 0.000

Values from the calculation:
Crystal system: cubic
Space group: Pm-3m (221)
M_tot, Bohr magnetons per cell: 0.1
Energy relative to the elements, uncorrected, eV/atom: 1.2105



6.
Compound: BeTlSb2
Source: Alexandria
Functional: PBEsol
Structure: relaxed

a = 3.875 Å, b = 4.970 Å, c = 4.970 Å
α = 101.37°, β = 90.00°, γ = 90.00°
Positions (direct):
Sb1 0.000 0.500 0.000
Sb2 0.000 0.000 0.500
Tl1 0.500 0.000 0.000
Be1 0.500 0.500 0.500

Values from the calculation:
Crystal system: orthorhombic
Polymorph energy (0 for the lowest one), meV per atom: 0
Space group: Cmmm (65)
M_tot, Bohr magnetons per cell: 0.0
Energy relative to the elements, uncorrected, eV/atom: 0.5620



7.
Compound: Be2TlSb
Source: Alexandria
Functional: PBEsol
Structure: relaxed

a = 3.854 Å, b = 4.889 Å, c = 4.889 Å
α = 66.52°, β = 66.79°, γ = 66.79°
Positions (direct):
Sb1 0.500 0.000 0.000
Tl1 0.000 0.500 0.500
Be1 0.242 0.758 0.758
Be2 0.758 0.242 0.242

Values from the calculation:
Crystal system: orthorhombic
Polymorph energy (0 for the lowest one), meV per atom: 0
Space group: Immm (71)
M_tot, Bohr magnetons per cell: 0.0
Energy relative to the elements, uncorrected, eV/atom: 0.6780



8.
Compound: Be2TlSb
Source: Alexandria
Functional: PBEsol
Structure: relaxed

a = 4.439 Å, b = 4.878 Å, c = 4.439 Å
α = 117.07°, β = 90.00°, γ = 117.07°
Positions (direct):
Sb1 0.500 0.000 0.500
Tl1 0.000 0.000 0.000
Be1 0.750 0.500 0.250
Be2 0.250 0.500 0.750

Values from the calculation:
Crystal system: tetragonal
Polymorph energy (0 for the lowest one), meV per atom: 62
Space group: I4/mmm (139)
M_tot, Bohr magnetons per cell: 0.0
Energy relative to the elements, uncorrected, eV/atom: 0.7397